Version i
# KRb2Pb

An optimized crystal structure of KRb2Pb (PBE, the Alexandria database).

extended XYZ file:
```
8
Lattice="7.6528 0.0000 0.0000 0.0000 5.7783 0.0000 -3.8055 0.0000 11.2308" Properties=species:S:1:pos:R:3 pbc="T T T"
K 0.0000 0.0000 0.0000
K -2.0471 0.0000 7.3030
Rb -0.0173 2.8892 4.0503
Rb -0.0079 2.8892 10.4715
Rb 1.8079 0.0000 7.2799
Rb 3.8529 0.0000 3.2171
Pb 3.8933 2.8892 5.7785
Pb 3.8565 2.8892 8.8616
```

Output
size of the total moment: 0.000 μB per atom
V: 497 Å³/cell
ρ: 2.8 g/cm3
N(E_F): 4.30 states/eV/cell

***

Version ii
# KRb2Pb

An optimized crystal structure of KRb2Pb (PBE, the Alexandria database).

extended XYZ file:
```
8
Lattice="9.3161 0.0000 0.0000 0.0000 5.7826 0.0000 -0.9168 0.0000 9.6573" Properties=species:S:1:pos:R:3 pbc="T T T"
K 0.0000 0.0000 0.0000
K 3.1293 2.8913 1.0270
Rb 0.8253 2.8913 6.4509
Rb 3.7732 0.0000 4.3926
Rb 5.2861 2.8913 7.8495
Rb 7.2510 2.8913 2.7848
Pb 2.6306 0.0000 8.2559
Pb 5.5798 0.0000 0.8256
```

Output
size of the total moment: 0.000 μB per atom
V: 520 Å³/cell
ρ: 2.7 g/cm3
N(E_F): 5.23 states/eV/cell

***

Version iii
# KRb2Pb

An optimized crystal structure of KRb2Pb (PBE, the Alexandria database).

extended XYZ file:
```
4
Lattice="6.5756 0.0000 0.0000 -3.2878 5.6946 0.0000 0.0000 0.0000 7.1611" Properties=species:S:1:pos:R:3 pbc="T T T"
K 0.0000 0.0000 0.0000
Rb 0.0000 3.7964 4.5196
Rb 3.2878 1.8982 2.6415
Pb 0.0000 0.0000 3.5805
```

Output
size of the total moment: 0.267 μB per atom
V: 268 Å³/cell
ρ: 2.6 g/cm3
N(E_F): 1.76 states/eV/cell

***

Version iv
# KRb2Pb

An optimized crystal structure of KRb2Pb (PBE, the Alexandria database).

extended XYZ file:
```
8
Lattice="3.8082 -6.7870 0.0000 3.8082 6.7870 0.0000 -2.6415 0.0000 8.9111" Properties=species:S:1:pos:R:3 pbc="T T T"
K -0.0560 0.0000 2.1926
K 5.0309 0.0000 6.7185
Rb 2.4874 3.5924 4.4555
Rb 3.8082 2.0911 0.0000
Rb 3.8082 -2.0911 0.0000
Rb 2.4874 -3.5924 4.4555
Pb 1.3632 0.0000 5.5977
Pb 3.6117 0.0000 3.3134
```

Output
size of the total moment: 0.001 μB per atom
V: 461 Å³/cell
ρ: 3.0 g/cm3
N(E_F): 7.88 states/eV/cell

***

Most stable structure, least stable structure: version ii, version iii.

***

Version i
# KRb2Pb

An optimized crystal structure of KRb2Pb (PBE, the Alexandria database).

extended XYZ file:
```
16
Lattice="12.2807 0.0000 0.0000 0.0000 8.3011 0.0000 -5.0231 0.0000 9.9184" Properties=species:S:1:pos:R:3 pbc="T T T"
K -1.5291 0.0061 3.0450
K -4.0407 4.1445 8.0042
K 11.2982 4.1567 1.9142
K 8.7867 8.2950 6.8734
Rb 2.8209 1.8451 1.4456
Rb 0.3093 2.3055 6.4048
Rb 2.0549 6.2181 4.1498
Rb -0.4567 6.2336 9.1090
Rb 7.7142 2.0675 0.8094
Rb 5.2027 2.0830 5.7686
Rb 6.9482 5.9956 3.5136
Rb 4.4367 6.4561 8.4728
Pb -1.6775 5.3700 5.3794
Pb 0.8341 7.0817 0.4202
Pb 6.4235 1.2194 9.4982
Pb 8.9351 2.9312 4.5390
```

Output
size of the total moment: 0.000 μB per atom
V: 1011 Å³/cell
ρ: 2.7 g/cm3
N(E_F): 14.97 states/eV/cell

***

Version ii
# KRb2Pb

An optimized crystal structure of KRb2Pb (PBE, the Alexandria database).

extended XYZ file:
```
8
Lattice="8.3070 -2.8733 0.0000 8.3070 2.8733 0.0000 -0.7074 0.0000 10.5265" Properties=species:S:1:pos:R:3 pbc="T T T"
K 0.0000 0.0000 0.0000
K 2.8711 0.0000 3.3002
Rb 3.9284 0.0000 9.8909
Rb 7.4466 0.0000 3.0507
Rb 9.2941 0.0000 7.4818
Rb 13.7227 0.0000 5.9562
Pb 10.6096 0.0000 0.8192
Pb 13.3364 0.0000 2.0394
```

Output
size of the total moment: 0.000 μB per atom
V: 503 Å³/cell
ρ: 2.8 g/cm3
N(E_F): 5.30 states/eV/cell

***

Version iii
# KRb2Pb

An optimized crystal structure of KRb2Pb (PBE, the Alexandria database).

extended XYZ file:
```
4
Lattice="-3.2612 3.2612 4.6734 3.2612 -3.2612 4.6734 3.2612 3.2612 -4.6734" Properties=species:S:1:pos:R:3 pbc="T T T"
K 0.0000 0.0000 0.0000
Rb 3.2612 0.0000 2.3367
Rb 0.0000 0.0000 4.6734
Pb 0.0000 3.2612 2.3367
```

Output
size of the total moment: 0.262 μB per atom
V: 199 Å³/cell
ρ: 3.5 g/cm3
N(E_F): 3.44 states/eV/cell

***

Version iv
# KRb2Pb

An optimized crystal structure of KRb2Pb (PBE, the Alexandria database).

extended XYZ file:
```
4
Lattice="0.0000 4.6721 4.6721 4.6721 0.0000 4.6721 4.6721 4.6721 0.0000" Properties=species:S:1:pos:R:3 pbc="T T T"
K 0.0000 0.0000 0.0000
Rb 2.3361 2.3361 2.3361
Rb 7.0082 7.0082 7.0082
Pb 4.6721 4.6721 4.6721
```

Output
size of the total moment: 0.251 μB per atom
V: 204 Å³/cell
ρ: 3.4 g/cm3
N(E_F): 4.31 states/eV/cell

***

Most stable structure, least stable structure: version ii, version iv.

***

Version i
# KRb2Pb

An optimized crystal structure of KRb2Pb (PBE, the Alexandria database).

extended XYZ file:
```
8
Lattice="5.7359 0.0000 0.0000 -2.8667 8.3431 0.0000 -0.0408 -0.6696 10.5063" Properties=species:S:1:pos:R:3 pbc="T T T"
K 0.0000 0.0000 0.0000
K -0.0389 3.9057 10.0909
Rb -0.0381 1.0831 6.5632
Rb -0.0369 6.6535 4.0091
Rb 2.8688 2.7600 2.5385
Rb 2.8296 4.7686 7.0406
Pb -0.0388 7.1448 8.0314
Pb 2.8282 1.5313 9.2436
```

Output
size of the total moment: 0.000 μB per atom
V: 503 Å³/cell
ρ: 2.8 g/cm3
N(E_F): 5.73 states/eV/cell

***

Version ii
# KRb2Pb

An optimized crystal structure of KRb2Pb (PBE, the Alexandria database).

extended XYZ file:
```
8
Lattice="-2.8258 2.8258 13.6961 2.8258 -2.8258 13.6961 2.8258 2.8258 -13.6961" Properties=species:S:1:pos:R:3 pbc="T T T"
K 0.0000 0.0000 0.0000
K 0.0000 2.8258 6.8481
Rb 1.4129 -1.3123 10.2721
Rb 1.5136 1.4129 3.4240
Rb 1.4129 4.1381 -3.4240
Rb 1.3123 1.4129 17.1202
Pb 2.8258 0.0000 6.8481
Pb 0.0000 0.0000 13.6961
```

Output
size of the total moment: 0.000 μB per atom
V: 437 Å³/cell
ρ: 3.2 g/cm3
N(E_F): 4.86 states/eV/cell

***

Version iii
# KRb2Pb

An optimized crystal structure of KRb2Pb (PBE, the Alexandria database).

extended XYZ file:
```
4
Lattice="4.3889 0.0000 0.0000 0.0000 4.3889 0.0000 0.0000 0.0000 12.2442" Properties=species:S:1:pos:R:3 pbc="T T T"
K 0.0000 0.0000 0.0000
Rb 2.1944 2.1944 3.8284
Rb 2.1944 2.1944 8.4158
Pb 0.0000 0.0000 6.1221
```

Output
size of the total moment: 0.066 μB per atom
V: 236 Å³/cell
ρ: 2.9 g/cm3
N(E_F): 4.23 states/eV/cell

***

Version iv
# KRb2Pb

An optimized crystal structure of KRb2Pb (PBE, the Alexandria database).

extended XYZ file:
```
4
Lattice="5.0646 0.0000 0.0000 -1.9844 7.0177 0.0000 -1.4712 -3.5106 6.2720" Properties=species:S:1:pos:R:3 pbc="T T T"
K 0.0000 0.0000 0.0000
Rb -1.4473 0.7053 3.9317
Rb 0.0216 4.2421 2.3859
Pb 2.5682 2.6210 0.0346
```

Output
size of the total moment: 0.064 μB per atom
V: 223 Å³/cell
ρ: 3.1 g/cm3
N(E_F): 4.76 states/eV/cell

***

Most stable structure, least stable structure: version i, version ii.

***

Version i
# KRbPb2

An optimized crystal structure of KRbPb2 (PBE, the Alexandria database).

extended XYZ file:
```
8
Lattice="-5.1557 5.1557 3.2254 5.1557 -5.1557 3.2254 5.1557 5.1557 -3.2254" Properties=species:S:1:pos:R:3 pbc="T T T"
K 0.0000 0.0000 0.0000
K 0.0000 5.1557 1.6127
Rb 5.1557 0.0000 1.6127
Rb 0.0000 0.0000 3.2254
Pb 2.5779 2.4801 -0.8064
Pb 2.6756 -2.5779 4.0318
Pb 2.5779 2.6756 2.4191
Pb 2.4801 7.7336 0.8064
```

Output
size of the total moment: 0.000 μB per atom
V: 343 Å³/cell
ρ: 5.2 g/cm3
N(E_F): 5.69 states/eV/cell

***

Version ii
# KRbPb2

An optimized crystal structure of KRbPb2 (PBE, the Alexandria database).

extended XYZ file:
```
8
Lattice="6.1110 0.0000 0.0000 0.0000 9.2118 0.0000 -3.0554 0.0000 6.1412" Properties=species:S:1:pos:R:3 pbc="T T T"
K -0.0172 2.3030 1.1053
K 3.0728 6.9089 5.0359
Rb -0.0185 2.3030 5.1921
Rb 3.0741 6.9089 0.9491
Pb 0.0130 5.3668 3.1553
Pb 0.0130 8.4510 3.1553
Pb 3.0426 0.7609 2.9859
Pb 3.0426 3.8451 2.9859
```

Output
size of the total moment: 0.000 μB per atom
V: 346 Å³/cell
ρ: 5.2 g/cm3
N(E_F): 4.44 states/eV/cell

***

Version iii
# KRbPb2

An optimized crystal structure of KRbPb2 (PBE, the Alexandria database).

extended XYZ file:
```
4
Lattice="0.0000 4.2952 4.2952 4.2952 0.0000 4.2952 4.2952 4.2952 0.0000" Properties=species:S:1:pos:R:3 pbc="T T T"
K 0.0000 0.0000 0.0000
Rb 4.2952 4.2952 4.2952
Pb 2.1476 2.1476 2.1476
Pb 6.4429 6.4429 6.4429
```

Output
size of the total moment: 0.000 μB per atom
V: 158 Å³/cell
ρ: 5.6 g/cm3
N(E_F): 1.31 states/eV/cell

***

Most stable structure, least stable structure: version ii, version i.